1.
A plane-wave DFT calculation with PBE-GGA was carried out for a relaxed structure of SrMg2Zn. Values from VASP.

Quantum ESPRESSO input file:
```
&SYSTEM
  ibrav = 0, nat = 4, ntyp = 3
/
ATOMIC_SPECIES
Sr 87.62 Sr.upf
Mg 24.30 Mg.upf
Zn 65.41 Zn.upf
ATOMIC_POSITIONS crystal
Sr 0.000 0.000 0.000
Mg 0.500 0.500 0.315
Mg 0.500 0.500 0.685
Zn 0.000 0.000 0.500
CELL_PARAMETERS angstrom
3.584 0.000 0.000
0.000 3.584 0.000
0.000 0.000 8.332
```

Properties
The calculation puts the calculated formation energy at 0.0 eV per formula unit. The symmetry is P4/mmm, No. 123. For the density of states at the Fermi level, the calculation gives 4.2 states/eV/f.u. The value obtained for the uncorrected energy is -1.535 eV/atom.



2.
A plane-wave DFT calculation with PBE-GGA was carried out for a relaxed structure of Sr2Mg5Zn5. Values from VASP.

Quantum ESPRESSO input file:
```
&SYSTEM
  ibrav = 0, nat = 12, ntyp = 3
/
ATOMIC_SPECIES
Sr 87.62 Sr.upf
Mg 24.30 Mg.upf
Zn 65.41 Zn.upf
ATOMIC_POSITIONS crystal
Sr 0.000 0.000 0.000
Sr 0.000 0.500 0.500
Mg 0.000 0.000 0.318
Mg 0.000 0.000 0.682
Mg 0.000 0.500 0.165
Mg 0.000 0.500 0.835
Mg 0.500 0.000 0.500
Zn 0.500 0.256 0.244
Zn 0.500 0.256 0.756
Zn 0.500 0.500 0.000
Zn 0.500 0.744 0.244
Zn 0.500 0.744 0.756
CELL_PARAMETERS angstrom
4.585 0.000 0.000
0.000 5.785 0.000
0.000 0.000 10.311
```

Properties
The calculation puts the calculated formation energy at -1.5 eV per formula unit. The symmetry is Pmmm, No. 47. For the density of states at the Fermi level, the calculation gives 8.9 states/eV/f.u. The value obtained for the uncorrected energy is -1.597 eV/atom.



3.
A plane-wave DFT calculation with PBE-GGA was carried out for a relaxed structure of Sr2MgZn3. Values from VASP.

Quantum ESPRESSO input file:
```
&SYSTEM
  ibrav = 0, nat = 6, ntyp = 3
/
ATOMIC_SPECIES
Sr 87.62 Sr.upf
Mg 24.30 Mg.upf
Zn 65.41 Zn.upf
ATOMIC_POSITIONS crystal
Sr 0.000 0.000 0.000
Sr 0.767 0.267 0.500
Mg 0.593 0.593 0.000
Zn 0.182 0.682 0.500
Zn 0.343 0.843 0.500
Zn 0.420 0.420 0.000
CELL_PARAMETERS angstrom
-2.244 2.337 8.028
2.244 -2.337 8.028
2.244 2.337 -8.028
```

Properties
The calculation puts the calculated formation energy at -1.0 eV per formula unit. The symmetry is Imm2, No. 44. For the density of states at the Fermi level, the calculation gives 4.8 states/eV/f.u. The value obtained for the polymorph energy (0 for the lowest one) is 0.0000 eV/atom. The value obtained for the uncorrected energy is -1.631 eV/atom.



4.
A plane-wave DFT calculation with PBE-GGA was carried out for a relaxed structure of SrMgZn. Values from VASP.

Quantum ESPRESSO input file:
```
&SYSTEM
  ibrav = 0, nat = 3, ntyp = 3
/
ATOMIC_SPECIES
Sr 87.62 Sr.upf
Mg 24.30 Mg.upf
Zn 65.41 Zn.upf
ATOMIC_POSITIONS crystal
Sr 0.000 0.000 0.000
Mg 0.708 0.708 0.000
Zn 0.311 0.311 0.000
CELL_PARAMETERS angstrom
-1.901 1.901 5.761
1.901 -1.901 5.761
1.901 1.901 -5.761
```

Properties
The calculation puts the calculated formation energy at -0.3 eV per formula unit. The symmetry is I4mm, No. 107. For the density of states at the Fermi level, the calculation gives 1.9 states/eV/f.u. The value obtained for the uncorrected energy is -1.601 eV/atom.



5.
A plane-wave DFT calculation with PBE-GGA was carried out for a relaxed structure of Sr2Mg5Zn12. Values from VASP.

Quantum ESPRESSO input file:
```
&SYSTEM
  ibrav = 0, nat = 19, ntyp = 3
/
ATOMIC_SPECIES
Sr 87.62 Sr.upf
Mg 24.30 Mg.upf
Zn 65.41 Zn.upf
ATOMIC_POSITIONS crystal
Sr 0.156 0.156 0.156
Sr 0.844 0.844 0.844
Mg 0.000 0.500 0.500
Mg 0.400 0.400 0.400
Mg 0.500 0.000 0.500
Mg 0.500 0.500 0.000
Mg 0.600 0.600 0.600
Zn 0.146 0.146 0.665
Zn 0.146 0.665 0.146
Zn 0.210 0.500 0.790
Zn 0.210 0.790 0.500
Zn 0.335 0.854 0.854
Zn 0.500 0.210 0.790
Zn 0.500 0.790 0.210
Zn 0.665 0.146 0.146
Zn 0.790 0.210 0.500
Zn 0.790 0.500 0.210
Zn 0.854 0.335 0.854
Zn 0.854 0.854 0.335
CELL_PARAMETERS angstrom
4.744 2.739 4.714
-4.744 2.739 4.714
0.000 -5.478 4.714
```

Properties
The calculation puts the calculated formation energy at -2.8 eV per formula unit. The symmetry is R-3m, No. 166. For the density of states at the Fermi level, the calculation gives 8.1 states/eV/f.u. The value obtained for the uncorrected energy is -1.547 eV/atom.



6.
A plane-wave DFT calculation with PBE-GGA was carried out for a relaxed structure of SrMgZn2. Values from VASP.

Quantum ESPRESSO input file:
```
&SYSTEM
  ibrav = 0, nat = 4, ntyp = 3
/
ATOMIC_SPECIES
Sr 87.62 Sr.upf
Mg 24.30 Mg.upf
Zn 65.41 Zn.upf
ATOMIC_POSITIONS crystal
Sr 0.000 0.000 0.000
Mg 0.808 0.808 0.808
Zn 0.203 0.203 0.203
Zn 0.535 0.535 0.535
CELL_PARAMETERS angstrom
2.267 1.309 5.798
-2.267 1.309 5.798
0.000 -2.617 5.798
```

Properties
The calculation puts the calculated formation energy at -0.6 eV per formula unit. The symmetry is R3m, No. 160. For the density of states at the Fermi level, the calculation gives 2.1 states/eV/f.u. The value obtained for the uncorrected energy is -1.605 eV/atom.



7.
A plane-wave DFT calculation with PBE-GGA was carried out for a relaxed structure of SrMg4Zn. Values from VASP.

Quantum ESPRESSO input file:
```
&SYSTEM
  ibrav = 0, nat = 12, ntyp = 3
/
ATOMIC_SPECIES
Sr 87.62 Sr.upf
Mg 24.30 Mg.upf
Zn 65.41 Zn.upf
ATOMIC_POSITIONS crystal
Sr 0.250 0.000 0.106
Sr 0.750 0.000 0.894
Mg 0.000 0.000 0.500
Mg 0.062 0.500 0.795
Mg 0.250 0.500 0.456
Mg 0.438 0.500 0.795
Mg 0.500 0.000 0.500
Mg 0.562 0.500 0.205
Mg 0.750 0.500 0.544
Mg 0.938 0.500 0.205
Zn 0.250 0.000 0.703
Zn 0.750 0.000 0.297
CELL_PARAMETERS angstrom
8.728 0.000 0.000
0.000 4.436 0.000
0.000 0.000 7.993
```

Properties
The calculation puts the calculated formation energy at -0.7 eV per formula unit. The symmetry is Pmma, No. 51. For the density of states at the Fermi level, the calculation gives 2.2 states/eV/f.u. The value obtained for the polymorph energy (0 for the lowest one) is 0.0000 eV/atom. The value obtained for the uncorrected energy is -1.669 eV/atom.



8.
A plane-wave DFT calculation with PBE-GGA was carried out for a relaxed structure of Sr2MgZn6. Values from VASP.

Quantum ESPRESSO input file:
```
&SYSTEM
  ibrav = 0, nat = 9, ntyp = 3
/
ATOMIC_SPECIES
Sr 87.62 Sr.upf
Mg 24.30 Mg.upf
Zn 65.41 Zn.upf
ATOMIC_POSITIONS crystal
Sr 0.333 0.667 0.146
Sr 0.667 0.333 0.854
Mg 0.000 0.000 0.000
Zn 0.178 0.356 0.647
Zn 0.178 0.822 0.647
Zn 0.356 0.178 0.353
Zn 0.644 0.822 0.647
Zn 0.822 0.178 0.353
Zn 0.822 0.644 0.353
CELL_PARAMETERS angstrom
6.019 0.000 0.000
-3.009 5.212 0.000
0.000 0.000 6.356
```

Properties
The calculation puts the calculated formation energy at -1.5 eV per formula unit. The symmetry is P-3m1, No. 164. For the density of states at the Fermi level, the calculation gives 3.4 states/eV/f.u. The value obtained for the uncorrected energy is -1.572 eV/atom.



9.
A plane-wave DFT calculation with PBE-GGA was carried out for a relaxed structure of SrMg6Zn. Values from VASP.

Quantum ESPRESSO input file:
```
&SYSTEM
  ibrav = 0, nat = 8, ntyp = 3
/
ATOMIC_SPECIES
Sr 87.62 Sr.upf
Mg 24.30 Mg.upf
Zn 65.41 Zn.upf
ATOMIC_POSITIONS crystal
Sr 0.000 0.000 0.000
Mg 0.000 0.446 0.446
Mg 0.000 0.487 0.975
Mg 0.000 0.975 0.487
Mg 0.500 0.115 0.615
Mg 0.500 0.609 0.609
Mg 0.500 0.615 0.115
Zn 0.500 0.169 0.169
CELL_PARAMETERS angstrom
5.063 0.000 0.000
0.000 3.200 6.251
0.000 -3.200 6.251
```

Properties
The calculation puts the calculated formation energy at 0.2 eV per formula unit. The symmetry is Amm2, No. 38. For the density of states at the Fermi level, the calculation gives 3.0 states/eV/f.u. The value obtained for the polymorph energy (0 for the lowest one) is 0.0048 eV/atom. The value obtained for the uncorrected energy is -1.537 eV/atom.



10.
A plane-wave DFT calculation with PBE-GGA was carried out for a relaxed structure of SrMgZn2. Values from VASP.

Quantum ESPRESSO input file:
```
&SYSTEM
  ibrav = 0, nat = 4, ntyp = 3
/
ATOMIC_SPECIES
Sr 87.62 Sr.upf
Mg 24.30 Mg.upf
Zn 65.41 Zn.upf
ATOMIC_POSITIONS crystal
Sr 0.000 0.000 0.000
Mg 0.750 0.750 0.750
Zn 0.250 0.250 0.250
Zn 0.500 0.500 0.500
CELL_PARAMETERS angstrom
0.000 3.570 3.570
3.570 0.000 3.570
3.570 3.570 0.000
```

Properties
The calculation puts the calculated formation energy at 0.0 eV per formula unit. The symmetry is F-43m, No. 216. For the density of states at the Fermi level, the calculation gives 2.3 states/eV/f.u. The value obtained for the uncorrected energy is -1.462 eV/atom.



11.
A plane-wave DFT calculation with PBE-GGA was carried out for a relaxed structure of Sr2Mg2Zn. Values from VASP.

Quantum ESPRESSO input file:
```
&SYSTEM
  ibrav = 0, nat = 10, ntyp = 3
/
ATOMIC_SPECIES
Sr 87.62 Sr.upf
Mg 24.30 Mg.upf
Zn 65.41 Zn.upf
ATOMIC_POSITIONS crystal
Sr 0.176 0.324 0.000
Sr 0.324 0.824 0.000
Sr 0.676 0.176 0.000
Sr 0.824 0.676 0.000
Mg 0.136 0.636 0.500
Mg 0.364 0.136 0.500
Mg 0.636 0.864 0.500
Mg 0.864 0.364 0.500
Zn 0.000 0.000 0.500
Zn 0.500 0.500 0.500
CELL_PARAMETERS angstrom
7.830 0.000 0.000
0.000 7.830 0.000
0.000 0.000 5.396
```

Properties
The calculation puts the calculated formation energy at 0.2 eV per formula unit. The symmetry is P4/mbm, No. 127. For the density of states at the Fermi level, the calculation gives 5.8 states/eV/f.u. The value obtained for the polymorph energy (0 for the lowest one) is 0.1367 eV/atom. The value obtained for the uncorrected energy is -1.530 eV/atom.



12.
A plane-wave DFT calculation with PBE-GGA was carried out for a relaxed structure of SrMg4Zn. Values from VASP.

Quantum ESPRESSO input file:
```
&SYSTEM
  ibrav = 0, nat = 6, ntyp = 3
/
ATOMIC_SPECIES
Sr 87.62 Sr.upf
Mg 24.30 Mg.upf
Zn 65.41 Zn.upf
ATOMIC_POSITIONS crystal
Sr 0.000 0.000 0.000
Mg 0.376 0.376 0.376
Mg 0.376 0.376 0.873
Mg 0.376 0.873 0.376
Mg 0.873 0.376 0.376
Zn 0.750 0.750 0.750
CELL_PARAMETERS angstrom
0.000 4.319 4.319
4.319 0.000 4.319
4.319 4.319 0.000
```

Properties
The calculation puts the calculated formation energy at 0.5 eV per formula unit. The symmetry is F-43m, No. 216. For the density of states at the Fermi level, the calculation gives 6.7 states/eV/f.u. The value obtained for the polymorph energy (0 for the lowest one) is 0.1921 eV/atom. The value obtained for the uncorrected energy is -1.477 eV/atom.